# 1
## Ce3SmRu4 (PBE)

Data for crystalline Ce3SmRu4 at its relaxed geometry.

extended XYZ file:
```
16
Lattice="4.6194 0.0000 0.0000 0.0000 7.0519 0.0000 0.0000 0.0000 10.1900" Properties=species:S:1:pos:R:3 pbc="T T T"
Ru 2.3097 5.5066 0.0000
Ru 2.3097 5.5066 5.0950
Ru 2.3097 1.5452 0.0000
Ru 2.3097 1.5452 5.0950
Ru 0.0001 5.2165 7.6425
Ru 4.6193 5.2165 2.5475
Ru 4.6193 1.8354 2.5475
Ru 0.0001 1.8354 7.6425
Sm 0.0000 3.5259 0.0000
Sm 0.0000 3.5259 5.0950
Ce 0.0000 0.0000 0.0000
Ce 0.0000 0.0000 5.0950
Ce 2.3103 0.0000 7.6425
Ce 2.3091 0.0000 2.5475
Ce 2.3101 3.5259 7.6425
Ce 2.3093 3.5259 2.5475
```

Output
ΔE_f	-0.289	eV per atom
total DFT energy (no corrections)	-7.7418	eV/atom

---

# 2
## KMg2WN4 (PBE)

Data for crystalline KMg2WN4 at its relaxed geometry.

extended XYZ file:
```
16
Lattice="5.6934 0.0000 0.0000 0.0000 5.8324 0.0000 0.0000 0.0000 7.4995" Properties=species:S:1:pos:R:3 pbc="T T T"
K 5.6490 1.0801 3.7497
K 2.8023 4.7523 0.0000
Mg 2.8319 1.9124 1.9089
Mg 2.8319 1.9124 5.5906
Mg 5.6785 3.9200 5.6586
Mg 5.6785 3.9200 1.8408
W 2.8704 4.6688 3.7497
W 0.0238 1.1636 0.0000
N 1.8679 1.5371 0.0000
N 4.7146 4.2954 3.7497
N 2.6752 0.7315 3.7497
N 5.5219 5.1009 0.0000
N 2.0235 3.8169 5.1892
N 4.8702 2.0155 1.4395
N 4.8702 2.0155 6.0600
N 2.0235 3.8169 2.3102
```

Output
formation energy from raw total energies	-0.4807	eV per atom
total DFT energy (no corrections)	-6.7984	eV/atom

---

# 3
## Ba3La3ScTe8 (PBE)

Data for crystalline Ba3La3ScTe8 at its relaxed geometry.

extended XYZ file:
```
15
Lattice="9.2519 0.0000 0.0000 -4.6260 8.0109 -0.0281 0.0000 -5.3107 8.0820" Properties=species:S:1:pos:R:3 pbc="T T T"
Ba 0.0000 0.0000 0.0000
Ba -2.3130 4.0055 -0.0141
Ba 2.3130 4.0055 -0.0141
La 4.6260 -2.6553 4.0410
La 2.3130 1.3501 4.0269
La -2.3130 1.3501 4.0269
Sc 0.0000 -2.6553 4.0410
Te 0.0000 2.6779 2.1709
Te 4.6260 0.0223 5.8829
Te 4.6260 2.8375 2.3067
Te 0.0000 -0.1372 5.7471
Te 7.0761 -1.4048 2.3205
Te -2.4502 4.1051 5.7334
Te 2.1758 -1.4048 2.3205
Te 2.4502 4.1051 5.7334
```

Output
formation energy from raw total energies	-1.5820	eV per atom
total DFT energy (no corrections)	-5.0497	eV/atom

---

# 4
## Tl3Zn2 (PBE)

Data for crystalline Tl3Zn2 at its relaxed geometry.

extended XYZ file:
```
10
Lattice="6.8843 0.0000 0.0000 3.4421 5.9620 0.0000 3.4421 1.9873 6.4259" Properties=species:S:1:pos:R:3 pbc="T T T"
Tl 6.1931 5.9620 4.8194
Tl 8.9510 3.5796 4.8194
Tl 5.5088 2.3824 4.8194
Tl 4.8176 4.3697 1.6065
Tl 8.2597 5.5669 1.6065
Tl 7.5755 1.9873 1.6065
Zn 10.3264 5.9620 3.5614
Zn 3.4421 1.9873 0.3484
Zn 3.4421 1.9873 2.8646
Zn 10.3264 5.9620 6.0775
```

Output
ΔE_f	0.161	eV per atom
total DFT energy (no corrections)	-1.7680	eV/atom
relative energy among the computed polymorphs	0.044	eV/atom

---

# 5
## Ca2AlW (PBE)

Data for crystalline Ca2AlW at its relaxed geometry.

extended XYZ file:
```
4
Lattice="3.0295 0.0000 0.0000 0.0000 3.0295 0.0000 0.0000 0.0000 10.0610" Properties=species:S:1:pos:R:3 pbc="T T T"
Ca 0.0000 0.0000 9.6028
Ca 1.5147 1.5147 2.9344
Al 1.5147 1.5147 7.2137
W 0.0000 0.0000 5.4017
```

Output
ΔE_f	0.419	eV per atom
total DFT energy (no corrections)	-4.7553	eV/atom

---

# 6
## TbPmNd5Dy2 (PBE)

Data for crystalline TbPmNd5Dy2 at its relaxed geometry.

extended XYZ file:
```
18
Lattice="-5.6890 0.0456 0.1794 2.8952 -9.4380 3.9132 0.3453 4.2037 9.8830" Properties=species:S:1:pos:R:3 pbc="T T T"
Tb -2.5050 2.3603 10.2635
Tb 0.1994 -5.8092 7.8023
Pm -2.6382 -3.4712 7.5223
Pm 0.0237 -3.7386 1.7015
Nd 0.0482 -7.2486 3.3734
Nd -2.5426 -0.6990 9.8473
Nd 0.3050 -5.9096 11.1758
Nd 0.2732 -2.6249 9.3320
Nd -2.6154 -6.8906 9.1168
Nd -2.6521 0.1682 6.1547
Nd 0.1355 -3.9867 5.3106
Nd -2.7588 0.6566 2.6484
Nd -2.7534 -2.9503 3.7347
Nd 0.0091 -0.2178 0.3453
Dy -2.5233 -3.7621 11.2409
Dy 0.2658 1.0065 8.1727
Dy 0.1215 -0.8579 4.0717
Dy -2.7233 -6.3046 5.5454
```

Output
ΔE_f	0.143	eV per atom
total DFT energy (no corrections)	-4.5707	eV/atom

---

# 7
## PmSm4Tl2 (PBE)

Data for crystalline PmSm4Tl2 at its relaxed geometry.

extended XYZ file:
```
7
Lattice="-0.3432 -1.6081 4.6198 6.7976 -0.7328 0.2499 -0.5191 6.4545 2.2081" Properties=species:S:1:pos:R:3 pbc="T T T"
Pm 2.9676 2.0568 3.5389
Sm 4.9775 4.5361 1.9487
Sm 1.3010 1.1856 0.5093
Sm -0.4312 2.4232 3.4140
Sm 3.2272 -1.1704 2.4349
Tl 4.7613 1.2675 0.7949
Tl 1.5171 4.4543 1.6631
```

Output
ΔE_f	-0.121	eV per atom
total DFT energy (no corrections)	-4.1725	eV/atom
relative energy among the computed polymorphs	0.000	eV/atom

---

# 8
## CaH12Br2O6 (PBE)

Data for crystalline CaH12Br2O6 at its relaxed geometry.

extended XYZ file:
```
21
Lattice="8.1539 0.0002 0.0000 -4.0773 7.0613 0.0000 0.0001 0.0000 4.0853" Properties=species:S:1:pos:R:3 pbc="T T T"
Br -0.0002 4.7076 1.6603
Br 4.0769 2.3538 2.4250
Ca 0.0000 0.0000 0.0000
H 5.8650 0.7758 1.9628
H 4.5495 4.6914 1.9628
H 1.8161 1.5945 1.9628
H -2.2610 5.4669 2.1225
H 1.7878 6.2858 2.1225
H 0.4727 2.3700 2.1225
H 3.0342 0.6872 3.6960
H 6.0417 2.2842 3.6959
H 3.1548 4.0901 3.6960
H -0.9222 2.9712 0.3893
H -1.0431 6.3742 0.3894
H 1.9645 4.7773 0.3893
O 6.4704 0.0001 2.0426
O -3.2354 5.6033 2.0427
O 0.8417 1.4580 2.0426
O -1.6350 7.0613 0.0000
O 6.9327 2.1152 4.0853
O 2.8555 4.9463 0.0000
```

Output
total DFT energy (no corrections)	-4.7871	eV/atom

---

# 9
## HIrAuS2 (PBE)

Data for crystalline HIrAuS2 at its relaxed geometry.

extended XYZ file:
```
5
Lattice="4.8321 0.0000 0.0000 0.0000 3.2208 0.0000 0.0000 0.0000 4.8321" Properties=species:S:1:pos:R:3 pbc="T T T"
H 0.0000 1.6104 0.0000
S 0.0000 0.0000 2.4160
S 2.4160 0.0000 0.0000
Ir 2.4160 1.6104 2.4160
Au 0.0000 0.0000 0.0000
```

Output
total DFT energy (no corrections)	-3.9498	eV/atom

---

# 10
## LiMnCr2 (PBE)

Data for crystalline LiMnCr2 at its relaxed geometry.

extended XYZ file:
```
4
Lattice="-2.8160 -2.0971 3.1048 -3.6378 -2.3607 -1.7779 4.6710 0.3690 0.1121" Properties=species:S:1:pos:R:3 pbc="T T T"
Cr -6.4315 -4.4424 1.3223
Cr -0.9987 -2.0425 -0.5214
Li -3.2474 -2.2430 0.6676
Mn -0.7859 -2.0476 1.9607
```

Output
ΔE_f	0.380	eV per atom
total DFT energy (no corrections)	-7.2028	eV/atom
relative energy among the computed polymorphs	0.134	eV/atom

---

# 11
## SrHfCl3 (PBE)

Data for crystalline SrHfCl3 at its relaxed geometry.

extended XYZ file:
```
5
Lattice="5.6163 0.0000 0.0000 0.0000 5.6163 0.0000 0.0000 0.0000 5.6163" Properties=species:S:1:pos:R:3 pbc="T T T"
Sr 0.0000 0.0000 0.0000
Hf 2.8081 2.8081 2.8081
Cl 0.0000 2.8081 0.0000
Cl 0.0000 0.0000 2.8081
Cl 2.8081 0.0000 0.0000
```

Output
formation energy from raw total energies	-0.6556	eV per atom
total DFT energy (no corrections)	-4.0907	eV/atom
relative energy among the computed polymorphs	0.396	eV/atom

---

# 12
## La6SmAg5 (PBE)

Data for crystalline La6SmAg5 at its relaxed geometry.

extended XYZ file:
```
12
Lattice="-5.3422 0.0649 0.9717 0.2377 -7.5378 1.8101 4.1194 1.9076 7.4026" Properties=species:S:1:pos:R:3 pbc="T T T"
Sm 0.0000 0.0000 0.0000
Ag -2.0650 -3.0878 4.0276
Ag 1.2553 -6.1719 7.3634
Ag 0.1188 -3.7689 0.9050
Ag -2.2404 0.6067 2.8210
Ag 1.0799 -2.4774 6.1568
La -1.5548 -4.3795 6.9635
La -1.6747 -0.5768 6.0503
La 1.5132 -0.1186 8.3827
La -2.4983 -5.4466 1.8017
La 0.6896 -4.9884 4.1342
La 0.5697 -1.1858 3.2209
```

Output
ΔE_f	-0.165	eV per atom
total DFT energy (no corrections)	-4.2098	eV/atom

---

# 13
## Rb2AgPS4 (PBE)

Data for crystalline Rb2AgPS4 at its relaxed geometry.

extended XYZ file:
```
16
Lattice="-4.3361 3.6797 -2.8258 -4.8968 -3.4243 -4.0806 -9.3133 0.7240 8.0980" Properties=species:S:1:pos:R:3 pbc="T T T"
Rb -6.7284 1.1276 4.6573
Rb -6.9209 3.2760 0.6149
Rb -12.9420 1.0059 3.3300
Rb -7.7722 1.8133 -3.5514
Ag -10.3571 1.4096 -0.1107
Ag 0.0000 0.0000 0.0000
P -8.1891 -0.4302 1.3022
P -2.1680 1.8399 -1.4129
S -6.4465 -1.4099 -3.5282
S -10.4669 1.0037 5.7838
S -15.9832 0.9197 1.6298
S -4.1957 1.4452 -1.5023
S -8.8074 -0.6048 -0.6630
S -9.2034 1.1299 2.2035
S -12.9201 1.4693 -0.5489
S -6.1614 -0.0356 1.3916
```

Output
formation energy from raw total energies	-0.6902	eV per atom
total DFT energy (no corrections)	-4.0285	eV/atom

---

# 14
## SrSi2Br2 (PBE)

Data for crystalline SrSi2Br2 at its relaxed geometry.

extended XYZ file:
```
10
Lattice="-5.3409 5.9888 2.8930 -5.8645 -2.4903 -5.6715 -1.4020 -2.4758 2.5368" Properties=species:S:1:pos:R:3 pbc="T T T"
Sr 0.0000 0.0000 0.0000
Sr -5.6027 1.7492 -1.3892
Si -6.0195 -1.7380 -2.1591
Si -9.1244 1.0718 -1.1328
Si -6.5879 2.7607 1.9173
Si -3.4829 -0.0491 0.8911
Br -6.9576 0.0116 -3.8339
Br -8.3469 3.5500 -1.1484
Br -4.2478 3.4869 1.0554
Br -2.8585 -0.0516 -1.6301
```

Output
formation energy from raw total energies	0.0332	eV per atom
total DFT energy (no corrections)	-3.1416	eV/atom
relative energy among the computed polymorphs	0.740	eV/atom

---

# 15
## Co2OsS (PBE)

Data for crystalline Co2OsS at its relaxed geometry.

extended XYZ file:
```
4
Lattice="-2.2958 -3.2515 -1.1609 -1.9353 -2.2974 2.8578 -4.1298 0.1532 0.3341" Properties=species:S:1:pos:R:3 pbc="T T T"
Co -2.0902 -1.3489 0.5078
Co -6.2706 -4.0468 1.5233
S 0.0000 0.0000 0.0000
Os -4.1804 -2.6979 1.0155
```

Output
formation energy from raw total energies	0.7673	eV per atom
total DFT energy (no corrections)	-6.6249	eV/atom
relative energy among the computed polymorphs	0.135	eV/atom

---

# 16
## CaCd4Ag2 (PBE)

Data for crystalline CaCd4Ag2 at its relaxed geometry.

extended XYZ file:
```
14
Lattice="4.4575 0.0000 0.0000 0.0000 8.5529 0.0000 0.0000 0.0000 8.5529" Properties=species:S:1:pos:R:3 pbc="T T T"
Ca 2.2288 0.0000 0.0000
Ca 0.0000 4.2765 4.2765
Cd 0.0000 0.8335 2.9623
Cd 0.0000 7.7194 5.5906
Cd 2.2288 1.3142 5.1100
Cd 2.2288 7.2387 3.4430
Cd 2.2288 3.4430 7.2387
Cd 2.2288 5.1100 1.3142
Cd 0.0000 2.9623 0.8335
Cd 0.0000 5.5906 7.7194
Ag 0.0000 1.6849 6.8680
Ag 0.0000 6.8680 1.6849
Ag 2.2288 5.9614 5.9614
Ag 2.2288 2.5915 2.5915
```

Output
ΔE_f	-0.178	eV per atom
total DFT energy (no corrections)	-1.8011	eV/atom
relative energy among the computed polymorphs	0.006	eV/atom

---

# 17
## Li2Tb2Pt3 (PBE)

Data for crystalline Li2Tb2Pt3 at its relaxed geometry.

extended XYZ file:
```
7
Lattice="4.6560 0.0032 -1.2989 -2.5059 4.1276 -0.0018 -0.4128 -0.2483 7.5067" Properties=species:S:1:pos:R:3 pbc="T T T"
Li 0.7308 0.4438 2.6185
Li 1.0065 3.4388 3.5875
Tb 2.5808 1.5682 0.2507
Tb -0.8435 2.3144 5.9553
Pt 0.0000 0.0000 0.0000
Pt 1.4128 0.8594 5.0447
Pt 0.3245 3.0232 1.1612
```

Output
ΔE_f	-0.873	eV per atom
total DFT energy (no corrections)	-5.3315	eV/atom

---

# 18
## SmPbC (PBE)

Data for crystalline SmPbC at its relaxed geometry.

extended XYZ file:
```
6
Lattice="3.7263 -0.0223 0.1183 1.8919 3.2060 -0.2182 1.4756 -0.0096 12.6315" Properties=species:S:1:pos:R:3 pbc="T T T"
Pb 2.1210 1.4138 7.0727
Pb 3.8797 0.6432 10.9736
Sm 4.0765 2.2465 4.3941
Sm 2.3419 3.0259 0.8024
C 4.0191 0.2061 5.7815
C 5.7091 1.8285 12.3829
```

Output
ΔE_f	0.241	eV per atom
total DFT energy (no corrections)	-5.6430	eV/atom

---

# 19
## Th4GaSb3 (PBE)

Data for crystalline Th4GaSb3 at its relaxed geometry.

extended XYZ file:
```
8
Lattice="-4.0012 -0.5898 1.8639 -2.8598 -2.2346 -6.8460 2.6819 -6.2005 3.7949" Properties=species:S:1:pos:R:3 pbc="T T T"
Sb 1.3409 -3.1002 1.8975
Sb -2.0896 -4.5124 -0.5936
Sb -1.4299 -1.1173 -3.4230
Ga -2.0006 -0.2949 0.9320
Th -0.0418 -1.9830 -0.7173
Th -3.5205 -3.4884 -3.3412
Th -0.1361 -6.4520 -2.3338
Th -0.6586 -5.5365 2.1541
```

Output
formation energy from raw total energies	-0.7760	eV per atom
total DFT energy (no corrections)	-6.4102	eV/atom

---

# 20
## ScTl2Pb (PBE)

Data for crystalline ScTl2Pb at its relaxed geometry.

extended XYZ file:
```
4
Lattice="-3.5592 2.6868 4.5497 -2.7528 -3.7695 4.3359 5.4564 1.9676 -2.6349" Properties=species:S:1:pos:R:3 pbc="T T T"
Pb -3.0549 -0.5240 4.3005
Sc -0.2009 -1.1673 3.0364
Tl -0.0934 -0.0160 0.1315
Tl -0.6622 2.0508 3.2251
```

Output
ΔE_f	-0.071	eV per atom
total DFT energy (no corrections)	-3.7646	eV/atom

---

# 21
## Li2ZnHgH (PBE)

Data for crystalline Li2ZnHgH at its relaxed geometry.

extended XYZ file:
```
5
Lattice="-1.0222 -3.2585 -2.2759 3.2794 0.6362 -2.3839 2.1844 -2.3468 2.3788" Properties=species:S:1:pos:R:3 pbc="T T T"
H 0.0000 0.0000 0.0000
Zn 1.0922 -1.1734 1.1894
Hg 2.2208 -2.4845 -1.1405
Li 1.6397 0.3181 -1.1919
Li -0.5111 -1.6292 -1.1380
```

Output
total DFT energy (no corrections)	-1.9417	eV/atom
relative energy among the computed polymorphs	0.000	eV/atom

---

# 22
## Mn2InNiIr (PBE)

Data for crystalline Mn2InNiIr at its relaxed geometry.

extended XYZ file:
```
5
Lattice="4.4005 0.0000 0.0000 0.0000 4.4005 0.0000 0.0000 0.0000 4.6486" Properties=species:S:1:pos:R:3 pbc="T T T"
Ni 0.0000 0.0000 0.0000
Ir 2.2003 2.2003 2.3243
Mn 0.0000 2.2003 0.0000
Mn 2.2003 0.0000 0.0000
In 0.0000 0.0000 2.3243
```

Output
ΔE_f	0.818	eV per atom
total DFT energy (no corrections)	-6.3260	eV/atom

---

# 23
## Sm2SbPd6 (PBE)

Data for crystalline Sm2SbPd6 at its relaxed geometry.

extended XYZ file:
```
9
Lattice="4.5415 0.0000 -0.1759 0.0000 8.3011 0.0000 -2.1144 -4.1505 4.9728" Properties=species:S:1:pos:R:3 pbc="T T T"
Sm 2.3440 4.1505 1.6359
Sm 0.0832 0.0000 3.1610
Sb 0.0000 0.0000 0.0000
Pd 0.0588 2.3655 1.5007
Pd 2.3683 -1.7850 3.2962
Pd 2.3683 1.7850 3.2962
Pd 2.2708 1.5832 -0.0880
Pd 0.0588 5.9355 1.5007
Pd 2.2708 6.7178 -0.0880
```

Output
formation energy from raw total energies	-0.5024	eV per atom
total DFT energy (no corrections)	-5.4710	eV/atom
relative energy among the computed polymorphs	0.236	eV/atom

---

| no. | calculated volume (Å³/cell) | magnetization (μB per formula unit) |
| --- | --- | --- |
| 1 | 331.9 | 0.00 |
| 2 | 249.0 | 1.01 |
| 3 | 597.6 | 0.00 |
| 4 | 263.7 | 0.00 |
| 5 | 92.3 | 0.00 |
| 6 | 625.8 | 0.00 |
| 7 | 226.4 | 0.00 |
| 8 | 235.2 | 0.00 |
| 9 | 75.2 | 0.00 |
| 10 | 45.5 | 0.00 |
| 11 | 177.2 | 2.69 |
| 12 | 347.5 | 0.00 |
| 13 | 493.3 | 0.00 |
| 14 | 277.3 | 0.00 |
| 15 | 50.4 | 2.58 |
| 16 | 326.1 | 0.00 |
| 17 | 141.3 | 0.00 |
| 18 | 150.9 | 0.00 |
| 19 | 252.4 | 0.00 |
| 20 | 108.0 | 0.00 |
| 21 | 67.2 | 0.00 |
| 22 | 90.0 | 8.30 |
| 23 | 184.4 | 0.00 |